A plane-wave DFT calculation with PBE with a Hubbard U was carried out for CoGeAsO after structural relaxation.

POSCAR file:
```
CoGeAsO
1.0
3.687 0.000 0.000
0.000 6.071 0.000
0.000 0.000 5.999
O Ge Co As
2 2 2 2
Direct
0.500 0.177 0.883
0.500 0.823 0.383
0.000 0.285 0.958
0.000 0.715 0.458
0.500 0.871 0.040
0.500 0.129 0.540
0.000 0.310 0.373
0.000 0.690 0.873
```

Properties
excess energy over the best structure of this formula in the dataset	0.0547	eV per atom
crystal system	orthorhombic
symmetry	Pmc2_1, No. 26